VASP calculation (GGA-PBE) on crystalline LaGa2CoAu at its relaxed geometry.

a b c (Å): 4.6263 4.6263 5.0723
angles (deg): 90.00 90.00 90.00
Element x y z (fractional)
La 0.0000 0.0000 0.0000
Ga 0.0000 0.5000 0.5000
Ga 0.5000 0.0000 0.5000
Co 0.0000 0.0000 0.5000
Au 0.5000 0.5000 0.0000

Properties
* SG: No. 123
* total magnetic moment: 0.00 μB per atom
* calculated formation energy: -2.2 eV/f.u.
* energy above the most stable polymorph in this dataset: 0 meV/atom
* calculated density: 8.2 g/cm³

VASP calculation (GGA-PBE) on crystalline La2Pm2N3 at its relaxed geometry.

a b c (Å): 6.3605 6.3605 6.5054
angles (deg): 99.24 99.24 33.30
Element x y z (fractional)
La 0.1336 0.1336 0.3593
La 0.8664 0.8664 0.6407
Pm 0.3731 0.3731 0.1067
Pm 0.6269 0.6269 0.8933
N 0.0000 0.0000 0.0000
N 0.2561 0.2561 0.7610
N 0.7439 0.7439 0.2390

Properties
* formation energy (no corrections): -1177 meV/atom
* SG: No. 12
* total magnetic moment: 0.14 μB per atom
* calculated density: 7.1 g/cm³

VASP calculation (GGA-PBE) on crystalline Sm2Si3IrPt4 at its relaxed geometry.

a b c (Å): 4.1739 4.1739 10.4226
angles (deg): 90.00 90.00 90.00
Element x y z (fractional)
Sm 0.0000 0.5000 0.2453
Sm 0.5000 0.0000 0.7547
Si 0.0000 0.0000 0.0000
Si 0.0000 0.5000 0.6276
Si 0.5000 0.0000 0.3724
Ir 0.5000 0.5000 0.0000
Pt 0.0000 0.0000 0.5000
Pt 0.0000 0.5000 0.8512
Pt 0.5000 0.0000 0.1488
Pt 0.5000 0.5000 0.5000

Properties
* formation energy (no corrections): -905 meV/atom
* SG: No. 115
* total magnetic moment: 0.00 μB per atom
* calculated density: 12.4 g/cm³

VASP calculation (GGA-PBE) on crystalline InBSb2Te at its relaxed geometry.

a b c (Å): 5.0232 5.0232 5.0062
angles (deg): 90.00 90.00 90.00
Element x y z (fractional)
In 0.0000 0.0000 0.0000
B 0.5000 0.5000 0.5000
Sb 0.0000 0.5000 0.5000
Sb 0.5000 0.0000 0.5000
Te 0.5000 0.5000 0.0000

Properties
* formation energy (no corrections): 608 meV/atom
* SG: No. 123
* total magnetic moment: 0.00 μB per atom
* energy above the most stable polymorph in this dataset: 0 meV/atom
* calculated density: 6.5 g/cm³

VASP calculation (GGA-PBE) on crystalline La3CdIr at its relaxed geometry.

a b c (Å): 12.3346 12.3346 5.4678
angles (deg): 90.00 90.00 145.60
Element x y z (fractional)
La 0.0000 0.0000 0.0000
La 0.0000 0.0000 0.5000
La 0.0392 0.4198 0.2500
La 0.4198 0.0392 0.7500
La 0.5802 0.9608 0.2500
La 0.9608 0.5802 0.7500
Cd 0.1221 0.8779 0.2500
Cd 0.8779 0.1221 0.7500
Ir 0.2356 0.7644 0.2500
Ir 0.7644 0.2356 0.7500

Properties
* SG: No. 63
* total magnetic moment: 0.00 μB per atom
* calculated formation energy: 1.1 eV/f.u.
* energy above the most stable polymorph in this dataset: 706 meV/atom
* calculated density: 5.1 g/cm³

VASP calculation (GGA-PBE) on crystalline Ca3MnHg at its relaxed geometry.

a b c (Å): 5.4905 5.4905 5.4905
angles (deg): 90.00 90.00 90.00
Element x y z (fractional)
Ca 0.0000 0.0000 0.5000
Ca 0.0000 0.5000 0.0000
Ca 0.5000 0.0000 0.0000
Mn 0.0000 0.0000 0.0000
Hg 0.5000 0.5000 0.5000

Properties
* SG: No. 221
* total magnetic moment: 0.48 μB per atom
* calculated formation energy: 1.7 eV/f.u.
* energy above the most stable polymorph in this dataset: 0 meV/atom
* calculated density: 3.8 g/cm³

VASP calculation (GGA-PBE) on crystalline Tb5Pm5Tm2 at its relaxed geometry.

a b c (Å): 8.0191 8.0191 11.3511
angles (deg): 115.14 115.14 36.80
Element x y z (fractional)
Tb 0.0000 0.0000 0.0000
Tb 0.1669 0.1669 0.5005
Tb 0.2516 0.2516 0.2521
Tb 0.7484 0.7484 0.7479
Tb 0.8331 0.8331 0.4995
Pm 0.3336 0.3336 0.0003
Pm 0.4168 0.4168 0.7496
Pm 0.5000 0.5000 0.5000
Pm 0.5832 0.5832 0.2504
Pm 0.6664 0.6664 0.9997
Tm 0.0836 0.0836 0.7495
Tm 0.9164 0.9164 0.2505

Properties
* SG: No. 12
* total magnetic moment: 0.00 μB per atom
* calculated formation energy: 0.2 eV/f.u.
* calculated density: 7.9 g/cm³

VASP calculation (GGA-PBE) on crystalline PrIn2Ge at its relaxed geometry.

a b c (Å): 4.4680 4.4680 4.9842
angles (deg): 90.00 90.00 90.00
Element x y z (fractional)
Pr 0.0000 0.0000 0.0000
In 0.0000 0.5000 0.5000
In 0.5000 0.0000 0.5000
Ge 0.5000 0.5000 0.0000

Properties
* SG: No. 123
* total magnetic moment: 0.00 μB per atom
* calculated formation energy: -1.8 eV/f.u.
* energy above the most stable polymorph in this dataset: 0 meV/atom
* calculated density: 7.4 g/cm³

VASP calculation (GGA-PBE) on crystalline HfGaCo at its relaxed geometry.

a b c (Å): 4.6905 4.2116 5.2102
angles (deg): 90.00 107.40 90.00
Element x y z (fractional)
Hf 0.2037 0.2500 0.3989
Hf 0.7963 0.7500 0.6011
Ga 0.3635 0.7500 0.0355
Ga 0.6365 0.2500 0.9645
Co 0.0796 0.2500 0.8353
Co 0.9204 0.7500 0.1647

Properties
* SG: No. 11
* total magnetic moment: 0.00 μB per atom
* calculated formation energy: -1.0 eV/f.u.
* calculated density: 10.4 g/cm³

VASP calculation (GGA-PBE) on crystalline LaYSe3 at its relaxed geometry.

a b c (Å): 4.1972 7.0843 9.1855
angles (deg): 90.00 90.00 90.00
Element x y z (fractional)
La 0.2500 0.2500 0.1502
La 0.7500 0.7500 0.8498
Y 0.2500 0.7500 0.3989
Y 0.7500 0.2500 0.6011
Se 0.2500 0.5189 0.6642
Se 0.2500 0.7500 0.0727
Se 0.2500 0.9811 0.6642
Se 0.7500 0.0189 0.3358
Se 0.7500 0.2500 0.9273
Se 0.7500 0.4811 0.3358

Properties
* formation energy (no corrections): -1929 meV/atom
* SG: No. 59
* total magnetic moment: 0.00 μB per atom
* energy above the most stable polymorph in this dataset: 43 meV/atom
* calculated density: 5.7 g/cm³

VASP calculation (GGA-PBE) on crystalline AcAsAu at its relaxed geometry.

a b c (Å): 4.5519 4.5519 4.3634
angles (deg): 90.00 90.00 120.00
Element x y z (fractional)
Ac 0.0000 0.0000 0.0000
As 0.3333 0.6667 0.4947
Au 0.6667 0.3333 0.5067

Properties
* SG: No. 156
* total magnetic moment: 0.00 μB per atom
* calculated formation energy: -2.9 eV/f.u.
* energy above the most stable polymorph in this dataset: 11 meV/atom
* calculated density: 10.6 g/cm³

VASP calculation (GGA-PBE) on crystalline ZrIr2Se at its relaxed geometry.

a b c (Å): 5.2199 5.3836 5.5669
angles (deg): 89.70 85.48 62.88
Element x y z (fractional)
Zr 0.0000 0.0000 0.0000
Zr 0.4413 0.6223 0.4582
Ir 0.4019 0.2114 0.7983
Ir 0.5444 0.0819 0.3296
Ir 0.8906 0.7075 0.6463
Ir 0.9949 0.1365 0.5102
Se 0.1005 0.4608 0.1980
Se 0.5748 0.5709 0.9275

Properties
* formation energy (no corrections): -436 meV/atom
* SG: No. 1
* total magnetic moment: 0.00 μB per atom
* calculated density: 13.3 g/cm³

VASP calculation (GGA-PBE) on crystalline CuSbRu at its relaxed geometry.

a b c (Å): 3.1435 3.1435 5.9871
angles (deg): 90.00 90.00 120.00
Element x y z (fractional)
Cu 0.0000 0.0000 0.0000
Sb 0.3333 0.6667 0.6477
Ru 0.6667 0.3333 0.3244

Properties
* formation energy (no corrections): 393 meV/atom
* SG: No. 156
* total magnetic moment: 0.00 μB per atom
* energy above the most stable polymorph in this dataset: 424 meV/atom
* calculated density: 9.3 g/cm³

VASP calculation (GGA-PBE) on crystalline BaGd2Er at its relaxed geometry.

a b c (Å): 12.9861 12.9861 12.9861
angles (deg): 16.04 16.04 16.04
Element x y z (fractional)
Ba 0.0000 0.0000 0.0000
Gd 0.0939 0.0939 0.0939
Gd 0.9061 0.9061 0.9061
Er 0.5000 0.5000 0.5000

Properties
* SG: No. 166
* total magnetic moment: 3.74 μB per atom
* calculated formation energy: 0.8 eV/f.u.
* energy above the most stable polymorph in this dataset: 66 meV/atom
* calculated density: 7.0 g/cm³

VASP calculation (GGA-PBE) on crystalline RbZn2CrB at its relaxed geometry.

a b c (Å): 6.1083 6.1083 5.3563
angles (deg): 90.00 90.00 90.00
Element x y z (fractional)
Rb 0.0000 0.0000 0.0000
Zn 0.0000 0.5000 0.0000
Zn 0.5000 0.0000 0.0000
Cr 0.5000 0.5000 0.5000
B 0.0000 0.0000 0.5000

Properties
* SG: No. 123
* total magnetic moment: 0.80 μB per atom
* calculated formation energy: 10.6 eV/f.u.
* calculated density: 2.3 g/cm³

VASP calculation (GGA-PBE) on crystalline K3Nd2ZrSe6 at its relaxed geometry.

a b c (Å): 7.2797 7.2797 8.1152
angles (deg): 98.64 98.64 120.01
Element x y z (fractional)
K 0.0000 0.0000 0.0000
K 0.3292 0.6708 0.0000
K 0.6708 0.3292 0.0000
Nd 0.1662 0.8338 0.5000
Nd 0.8338 0.1662 0.5000
Zr 0.5000 0.5000 0.5000
Se 0.1173 0.4305 0.2915
Se 0.2575 0.2575 0.7092
Se 0.4305 0.1173 0.2915
Se 0.5695 0.8827 0.7085
Se 0.7425 0.7425 0.2908
Se 0.8827 0.5695 0.7085

Properties
* formation energy (no corrections): -1584 meV/atom
* SG: No. 12
* total magnetic moment: 0.00 μB per atom
* calculated density: 4.5 g/cm³

VASP calculation (GGA-PBE) on crystalline TbY2 at its relaxed geometry.

a b c (Å): 7.9987 7.9987 7.9987
angles (deg): 154.27 154.27 36.71
Element x y z (fractional)
Tb 0.0000 0.0000 0.0000
Y 0.3340 0.3340 0.0000
Y 0.6660 0.6660 0.0000

Properties
* SG: No. 139
* total magnetic moment: 0.00 μB per atom
* calculated formation energy: 0.1 eV/f.u.
* energy above the most stable polymorph in this dataset: 1 meV/atom
* calculated density: 5.8 g/cm³

VASP calculation (GGA-PBE) on crystalline Hf3CoAu at its relaxed geometry.

a b c (Å): 5.4623 5.4623 7.9045
angles (deg): 111.85 111.85 67.74
Element x y z (fractional)
Hf 0.0272 0.0272 0.2274
Hf 0.2934 0.2934 0.7038
Hf 0.3088 0.3088 0.1132
Hf 0.6912 0.6912 0.8868
Hf 0.7066 0.7066 0.2962
Hf 0.9728 0.9728 0.7726
Co 0.2939 0.7061 0.0000
Co 0.7061 0.2939 0.0000
Au 0.2778 0.7222 0.5000
Au 0.7222 0.2778 0.5000

Properties
* SG: No. 12
* total magnetic moment: 0.00 μB per atom
* calculated formation energy: -1.5 eV/f.u.
* energy above the most stable polymorph in this dataset: 0 meV/atom
* calculated density: 13.5 g/cm³

VASP calculation (GGA-PBE) on crystalline CaMgIn4Se8 at its relaxed geometry.

a b c (Å): 8.2097 8.2097 8.2097
angles (deg): 60.22 60.22 60.22
Element x y z (fractional)
Ca 0.0000 0.0000 0.0000
Mg 0.3736 0.3736 0.3736
In 0.3754 0.3754 0.8917
In 0.3754 0.8917 0.3754
In 0.7590 0.7590 0.7590
In 0.8917 0.3754 0.3754
Se 0.1387 0.1387 0.1387
Se 0.1430 0.1430 0.5916
Se 0.1430 0.5916 0.1430
Se 0.1611 0.6166 0.6166
Se 0.5916 0.1430 0.1430
Se 0.6166 0.1611 0.6166
Se 0.6166 0.6166 0.1611
Se 0.6222 0.6222 0.6222

Properties
* formation energy (no corrections): -779 meV/atom
* SG: No. 160
* total magnetic moment: 0.00 μB per atom
* calculated density: 4.9 g/cm³

VASP calculation (GGA-PBE) on crystalline LiHoTaOs at its relaxed geometry.

a b c (Å): 4.6544 4.6544 4.6544
angles (deg): 60.00 60.00 60.00
Element x y z (fractional)
Li 0.0000 0.0000 0.0000
Ho 0.2500 0.2500 0.2500
Ta 0.7500 0.7500 0.7500
Os 0.5000 0.5000 0.5000

Properties
* SG: No. 216
* total magnetic moment: 0.00 μB per atom
* calculated formation energy: -0.2 eV/f.u.
* calculated density: 12.6 g/cm³